{"formula": "Ca2ZrHg", "functional": "PBE", "state": "optimized geometry", "ef_kj_per_mol_atoms": 5.23, "lattice": [[-3.1033, -0.3669, 3.9880], [1.1424, -3.4186, 0.5744], [5.1962, 0.4737, 4.0870]], "species": ["Ca", "Ca", "Hg", "Zr"], "frac_coords": [[0.0000, 0.9574, 0.9600], [0.5000, 0.2886, 0.2979], [0.0000, 0.6842, 0.5068], [0.5000, 0.5697, 0.7353]]}